No. 1
VASP calculation (PBE) on a geometry-optimized TiNb2AgHg structure.

Values from the calculation:
Space group: P4/mmm
Size of the total moment in μB/f.u.: 1.176
E above lowest polymorph in meV per atom: 0
ΔE_f in kJ per mole of atoms: 140.8
Total DFT energy (no corrections) in eV/cell: -23.9
N(E_F) in states/eV/f.u.: 6.32

The structure in extended XYZ format:
```
5
Lattice="4.9707 0.0000 0.0000 0.0000 4.9707 0.0000 0.0000 0.0000 4.7811" Properties=species:S:1:pos:R:3 pbc="T T T"
Ti 0.0000 0.0000 0.0000
Nb 0.0000 2.4853 2.3906
Nb 2.4853 0.0000 2.3906
Ag 0.0000 0.0000 2.3906
Hg 2.4853 2.4853 0.0000
```

No. 2
VASP calculation (PBE) on a geometry-optimized Y5TmAu6 structure.

Values from the calculation:
Space group: C2/m
Size of the total moment in μB/f.u.: 0.000
ΔE_f in kJ per mole of atoms: -83.4
Total DFT energy (no corrections) in eV/cell: -66.8
N(E_F) in states/eV/f.u.: 6.19

The structure in extended XYZ format:
```
12
Lattice="8.0950 -3.5637 0.0000 8.0950 3.5637 0.0000 -1.6033 0.0000 4.8495" Properties=species:S:1:pos:R:3 pbc="T T T"
Y 0.0000 0.0000 0.0000
Y 1.6223 0.0000 3.2309
Y 4.8493 0.0000 1.6124
Y 9.7373 0.0000 3.2371
Y 12.9643 0.0000 1.6186
Tm 8.0950 0.0000 0.0000
Au 4.0951 1.7563 4.0526
Au 7.2933 1.7339 2.4248
Au 10.4915 1.7563 0.7969
Au 4.0951 -1.7563 4.0526
Au 7.2933 -1.7339 2.4248
Au 10.4915 -1.7563 0.7969
```

No. 3
VASP calculation (PBE) on a geometry-optimized Pm5HoN6 structure.

Values from the calculation:
E_form (uncorrected) in eV per atom: -1.48
Space group: C2/m
Size of the total moment in μB/f.u.: 0.000
Total DFT energy (no corrections) in eV/cell: -96.0
N(E_F) in states/eV/f.u.: 0.55

The structure in extended XYZ format:
```
12
Lattice="3.1073 -5.3822 0.0000 3.1073 5.3822 0.0000 -2.0711 0.0000 5.8580" Properties=species:S:1:pos:R:3 pbc="T T T"
Pm 0.0000 0.0000 0.0000
Pm 2.0718 3.5863 2.9290
Pm 3.1073 1.7834 0.0000
Pm 3.1073 -1.7834 0.0000
Pm 2.0718 -3.5863 2.9290
Ho 2.0718 0.0000 2.9290
N 1.0560 1.7597 1.4856
N 0.0391 0.0000 4.3767
N 1.0560 -1.7597 1.4856
N 3.0876 1.7597 4.3725
N 4.1044 0.0000 1.4813
N 3.0876 -1.7597 4.3725
```

No. 4
VASP calculation (PBE) on a geometry-optimized ZrV2B2 structure.

Values from the calculation:
Space group: P4/mbm
Size of the total moment in μB/f.u.: 0.000
ΔE_f in kJ per mole of atoms: -37.1
Total DFT energy (no corrections) in eV/cell: -84.1
N(E_F) in states/eV/f.u.: 4.41

The structure in extended XYZ format:
```
10
Lattice="6.1099 0.0000 0.0000 0.0000 6.1099 0.0000 0.0000 0.0000 3.1237" Properties=species:S:1:pos:R:3 pbc="T T T"
Zr 0.0000 0.0000 0.0000
Zr 3.0550 3.0550 0.0000
V 1.0394 2.0156 1.5619
V 2.0156 5.0706 1.5619
V 4.0943 1.0394 1.5619
V 5.0706 4.0943 1.5619
B 0.6231 3.6780 0.0000
B 2.4319 0.6231 0.0000
B 3.6780 5.4869 0.0000
B 5.4869 2.4319 0.0000
```